Entry from Alexandria: a crystal of YZnPO2 relaxed with PBEsol (SCAN).

```
data_YZnPO2
_chemical_formula_sum 'Y1 Zn1 P1 O2'
_cell_length_a 3.966
_cell_length_b 3.966
_cell_length_c 4.469
_cell_angle_alpha 90.00
_cell_angle_beta 90.00
_cell_angle_gamma 90.00
_space_group_name_H-M_alt 'P 1'
_space_group_IT_number 1
loop_
_space_group_symop_operation_xyz
'x,y,z'
loop_
_atom_site_label
_atom_site_type_symbol
_atom_site_fract_x
_atom_site_fract_y
_atom_site_fract_z
_atom_site_occupancy
Y1 Y 0.500 0.500 0.500 1
P1 P 0.000 0.000 0.500 1
Zn1 Zn 0.000 0.000 0.000 1
O1 O 0.000 0.500 0.000 1
O2 O 0.500 0.000 0.000 1
```

- N(E_F): 3.0 states/eV per cell
- Offset from the most stable computed form: 0.000 eV/atom
- DFT total energy: -13.881 eV per atom
- Total moment: 0.00 μB per atom
- Raw formation energy: -1.0369 eV/atom
- Symmetry: P4/mmm